(1)
10
Lattice="-0.5512 -3.1095 1.7870 7.8454 1.3654 7.9929 -7.8857 3.7806 2.4641" Properties=species:S:1:pos:R:3 comment="PBE La5PrTm4, optimized geometry" polymorph_energy_ev_per_fu=0.36 dft_energy_ev_per_cell=-46.7 dos_ef_per_ev_atom=1.474 m_tot_mub_per_cell=0.0 pbc="T T T"
La 1.4157 1.6827 5.8344
La 4.2097 -1.1638 8.8702
La -4.8012 3.2002 3.3739
La 3.6471 -0.8721 4.8900
La -2.0072 0.3538 6.4097
Pr -0.2756 -1.5548 0.8935
Tm -2.5543 0.4193 2.7665
Tm 0.1124 -1.4122 4.2257
Tm 1.9628 1.6172 9.4776
Tm -0.7039 3.4486 8.0183


(2)
13
Lattice="5.0302 0.0000 1.2789 2.5154 9.3100 0.6383 0.2209 -0.0071 9.6627" Properties=species:S:1:pos:R:3 comment="PBE La4Pr5Tm4, optimized geometry" dft_energy_ev_per_cell=-61.2 dos_ef_per_ev_atom=1.578 m_tot_mub_per_cell=0.0 pbc="T T T"
La 5.9521 4.2814 8.1847
La 3.9738 2.8422 5.4338
La 1.8145 5.0216 3.3952
La 3.7927 6.4607 6.1461
Pr 5.7873 7.9268 8.8329
Pr 1.9793 1.3761 2.7470
Pr 0.0000 0.0000 0.0000
Pr 4.6910 7.1338 2.6131
Pr 3.0755 2.1691 8.9668
Tm 4.8526 3.5905 1.9776
Tm 2.9140 5.7125 9.6023
Tm 6.6607 8.5868 5.3976
Tm 1.1058 0.7162 6.1823


(3)
14
Lattice="8.3298 0.5291 1.6551 -0.1147 9.9696 -1.5219 -2.8839 -6.5231 6.0591" Properties=species:S:1:pos:R:3 comment="PBE La2PrTm4, optimized geometry" polymorph_energy_ev_per_fu=0.66 dft_energy_ev_per_cell=-62.9 dos_ef_per_ev_atom=1.450 m_tot_mub_per_cell=0.0 pbc="T T T"
La 4.3345 -1.3437 5.4063
La 4.3372 6.7960 1.0111
La 3.9911 1.8026 1.8440
La -0.9367 -0.1527 4.6460
Pr 7.1349 3.3595 2.7948
Pr -1.2674 -5.1801 5.4631
Tm 6.4974 0.0244 2.9975
Tm 1.7346 4.4696 1.4436
Tm 4.8817 2.0933 5.1600
Tm 3.8186 4.9775 4.1521
Tm 1.6871 -0.7905 2.2688
Tm 1.3179 -2.8617 4.9794
Tm 1.3369 2.4459 4.1815
Tm -0.8801 6.5679 0.8213